1.
# RbScBr3 (PBE-GGA, optimized geometry)
# SG: R-3c
# Mass density: 3.78 g cm⁻³
# DFT total energy: -4.019 eV per atom
# Total moment: 0.200 μB per atom
# ΔE_f (raw): -1555 meV per atom
data_RbScBr3
_chemical_formula_sum 'Rb2 Sc2 Br6'
_cell_length_a 7.6895
_cell_length_b 7.6895
_cell_length_c 7.6895
_cell_angle_alpha 60.52
_cell_angle_beta 60.52
_cell_angle_gamma 60.52
_symmetry_space_group_name_H-M 'P 1'
_symmetry_Int_Tables_number 1
_symmetry_space_group_name_Hall 'P 1'
loop_
_atom_site_label
_atom_site_fract_x
_atom_site_fract_y
_atom_site_fract_z
Rb1 0.2500 0.2500 0.2500
Rb2 0.7500 0.7500 0.7500
Sc1 0.0000 0.0000 0.0000
Sc2 0.5000 0.5000 0.5000
Br1 0.2111 0.7500 0.2889
Br2 0.2500 0.7111 0.7889
Br3 0.2889 0.2111 0.7500
Br4 0.7111 0.7889 0.2500
Br5 0.7500 0.2889 0.2111
Br6 0.7889 0.2500 0.7111


2.
# RbScBr3 (PBE-GGA, optimized geometry)
# SG: P6_3/mmc
# Mass density: 4.21 g cm⁻³
# DFT total energy: -3.765 eV per atom
# Total moment: 0.200 μB per atom
# ΔE_f (raw): -1302 meV per atom
data_RbScBr3
_chemical_formula_sum 'Rb2 Sc2 Br6'
_cell_length_a 5.4980
_cell_length_b 5.4980
_cell_length_c 11.1605
_cell_angle_alpha 90.00
_cell_angle_beta 90.00
_cell_angle_gamma 120.00
_symmetry_space_group_name_H-M 'P 1'
_symmetry_Int_Tables_number 1
_symmetry_space_group_name_Hall 'P 1'
loop_
_atom_site_label
_atom_site_fract_x
_atom_site_fract_y
_atom_site_fract_z
Rb1 0.3333 0.6667 0.2500
Rb2 0.6667 0.3333 0.7500
Sc1 0.0000 0.0000 0.0000
Sc2 0.0000 0.0000 0.5000
Br1 0.0000 0.0000 0.2500
Br2 0.0000 0.0000 0.7500
Br3 0.3333 0.6667 0.5567
Br4 0.3333 0.6667 0.9433
Br5 0.6667 0.3333 0.0567
Br6 0.6667 0.3333 0.4433


Which formula does entry 1 have? RbScBr3


Which of these has the highest mass density? number 2


Which of these has the lowest mass density? number 1